Entry 1:
First-principles (PBE) data for RbSiBPt2 after structural relaxation, as listed in the Alexandria database.

a = 4.8647 Å, b = 4.8647 Å, c = 4.1465 Å
α = 90.00°, β = 90.00°, γ = 90.00°
With the nearest neighbours (Å) after each atom.
Sites, in units of the cell vectors:
Rb (0.0000, 0.0000, 0.0000)  8 Pt 3.20, 4 B 3.44
Si (0.5000, 0.5000, 0.5000)  2 B 2.07
B (0.5000, 0.5000, 0.0000)  2 Si 2.07
Pt (0.0000, 0.5000, 0.5000)  2 Si 2.43
Pt (0.5000, 0.0000, 0.5000)  2 Si 2.43

Values from the calculation:
Density of states at the Fermi level: 3.2 states/eV/cell
Total magnetic moment: 0.00 μB per formula unit
Space-group type: P4/mmm
Excess energy over the best structure of this formula in the dataset: 0.138 eV per atom

Entry 2:
First-principles (PBE) data for RbSiBPt2 after structural relaxation, as listed in the Alexandria database.

a = 4.4060 Å, b = 4.4060 Å, c = 4.6804 Å
α = 90.00°, β = 90.00°, γ = 90.00°
With the nearest neighbours (Å) after each atom.
Sites, in units of the cell vectors:
Rb (0.0000, 0.0000, 0.0000)  4 Si 3.12, 8 Pt 3.21
Si (0.5000, 0.5000, 0.0000)  2 B 2.34
B (0.5000, 0.5000, 0.5000)  4 Pt 2.20, 2 Si 2.34
Pt (0.0000, 0.5000, 0.5000)  2 B 2.20
Pt (0.5000, 0.0000, 0.5000)  2 B 2.20

Values from the calculation:
Density of states at the Fermi level: 4.7 states/eV/cell
Total magnetic moment: 0.00 μB per formula unit
Space-group type: P4/mmm
Excess energy over the best structure of this formula in the dataset: 0.000 eV per atom

Entry 3:
First-principles (PBE) data for RbBTe2Pt after structural relaxation, as listed in the Alexandria database.

a = 4.8468 Å, b = 4.8468 Å, c = 5.3202 Å
α = 90.00°, β = 90.00°, γ = 90.00°
With the nearest neighbours (Å) after each atom.
Sites, in units of the cell vectors:
Rb (0.0000, 0.0000, 0.0000)  2 B 2.66
B (0.0000, 0.0000, 0.5000)  4 Te 2.42, 2 Rb 2.66
Te (0.0000, 0.5000, 0.5000)  2 B 2.42
Te (0.5000, 0.0000, 0.5000)  2 B 2.42
Pt (0.5000, 0.5000, 0.0000)  4 Rb 3.43, 8 Te 3.60

Values from the calculation:
Density of states at the Fermi level: 3.9 states/eV/cell
Total magnetic moment: 0.00 μB per formula unit
Space-group type: P4/mmm
Uncorrected energy: -15.4 eV/cell

Entry 4:
First-principles (PBE) data for RbVB2Pt after structural relaxation, as listed in the Alexandria database.

a = 4.2036 Å, b = 4.2036 Å, c = 5.3160 Å
α = 90.00°, β = 90.00°, γ = 90.00°
With the nearest neighbours (Å) after each atom.
Sites, in units of the cell vectors:
Rb (0.0000, 0.0000, 0.0000)  4 V 2.97
V (0.5000, 0.5000, 0.0000)  2 Pt 2.66, 4 Rb 2.97
B (0.0000, 0.5000, 0.5000)  2 Pt 2.10
B (0.5000, 0.0000, 0.5000)  2 Pt 2.10
Pt (0.5000, 0.5000, 0.5000)  4 B 2.10

Values from the calculation:
Density of states at the Fermi level: 4.5 states/eV/cell
Total magnetic moment: 3.87 μB per formula unit
Space-group type: P4/mmm
Uncorrected energy: -24.6 eV/cell

Entry 5:
First-principles (PBE) data for RbB2PtW after structural relaxation, as listed in the Alexandria database.

a = 4.3058 Å, b = 4.3058 Å, c = 5.0571 Å
α = 90.00°, β = 90.00°, γ = 90.00°
With the nearest neighbours (Å) after each atom.
Sites, in units of the cell vectors:
Rb (0.0000, 0.0000, 0.0000)  4 B 2.15
B (0.0000, 0.5000, 0.0000)  2 Rb 2.15
B (0.5000, 0.0000, 0.0000)  2 Rb 2.15
Pt (0.5000, 0.5000, 0.5000)  4 W 3.04, 8 B 3.32
W (0.0000, 0.0000, 0.5000)  2 Rb 2.53

Values from the calculation:
Density of states at the Fermi level: 5.1 states/eV/cell
Total magnetic moment: 1.27 μB per formula unit
Space-group type: P4/mmm
Uncorrected energy: -14.2 eV/cell

Entry 6:
First-principles (PBE) data for ReB2Pt after structural relaxation, as listed in the Alexandria database.

a = 3.9156 Å, b = 3.9156 Å, c = 3.9156 Å
α = 60.00°, β = 60.00°, γ = 60.00°
With the nearest neighbours (Å) after each atom.
Sites, in units of the cell vectors:
Re (0.0000, 0.0000, 0.0000)  8 B 2.40
B (0.2500, 0.2500, 0.2500)  4 Re 2.40, 4 Pt 2.40
B (0.7500, 0.7500, 0.7500)  4 Re 2.40, 4 Pt 2.40
Pt (0.5000, 0.5000, 0.5000)  8 B 2.40

Values from the calculation:
Density of states at the Fermi level: 1.7 states/eV/cell
Total magnetic moment: 0.00 μB per formula unit
Space-group type: Fm-3m
Excess energy over the best structure of this formula in the dataset: 0.000 eV per atom

Entry 7:
First-principles (PBE) data for ReB2Pt after structural relaxation, as listed in the Alexandria database.

a = 5.7934 Å, b = 5.7934 Å, c = 5.7934 Å
α = 130.39°, β = 130.39°, γ = 72.79°
With the nearest neighbours (Å) after each atom.
Sites, in units of the cell vectors:
Re (0.0000, 0.0000, 0.0000)  4 B 2.08
Re (0.7500, 0.2500, 0.5000)  4 B 2.08
B (0.1254, 0.6250, 0.0004)  2 Pt 2.08, 2 Re 2.08
B (0.3750, 0.3754, 0.5004)  2 Pt 2.08, 2 Re 2.08
B (0.6246, 0.1250, 0.9996)  2 Pt 2.08, 2 Re 2.08
B (0.8750, 0.8746, 0.4996)  2 Pt 2.08, 2 Re 2.08
Pt (0.2500, 0.7500, 0.5000)  4 B 2.08
Pt (0.5000, 0.5000, 0.0000)  4 B 2.08

Values from the calculation:
Density of states at the Fermi level: 6.4 states/eV/cell
Total magnetic moment: 0.00 μB per formula unit
Space-group type: I-42d
Excess energy over the best structure of this formula in the dataset: 0.108 eV per atom

Entry 8:
First-principles (PBE) data for Re2BPt2 after structural relaxation, as listed in the Alexandria database.

a = 6.9084 Å, b = 6.9084 Å, c = 6.9084 Å
α = 150.48°, β = 150.48°, γ = 42.23°
With the nearest neighbours (Å) after each atom.
Sites, in units of the cell vectors:
Re (0.0923, 0.0923, 0.0000)  1 Re 2.38
Re (0.9077, 0.9077, 0.0000)  1 Re 2.38
B (0.5000, 0.5000, 0.0000)  8 Re 2.76
Pt (0.2500, 0.7500, 0.5000)  4 Pt 2.49, 4 Re 2.69
Pt (0.7500, 0.2500, 0.5000)  4 Pt 2.49, 4 Re 2.69

Values from the calculation:
Density of states at the Fermi level: 2.8 states/eV/cell
Total magnetic moment: 0.00 μB per formula unit
Space-group type: I4/mmm
Excess energy over the best structure of this formula in the dataset: 0.877 eV per atom

What is the formula in the sixth record?
ReB2Pt

Which of these has the lowest density of states at the Fermi level?
number 6

What is the density of states at the Fermi level in the sixth record?
1.7 states/eV/cell